# 1
An optimized crystal structure of CoTcIr2, computed with GGA-PBE.

a b c (Å): 4.642 4.642 4.638
angles (deg): 80.27 80.27 33.77
Positions (direct):
Co 0.750 0.750 0.752
Ir 0.001 0.001 0.988
Ir 0.250 0.250 0.258
Tc 0.499 0.499 0.502

Energy of formation from the pure elements = -21 meV/atom
N(E_F) = 4.93 states/eV per cell
Energy relative to the lowest polymorph listed for this composition = 67 meV per atom

# 2
An optimized crystal structure of SrIn8Au2, computed with GGA-PBE.

a b c (Å): 6.428 6.428 8.821
angles (deg): 90.00 90.00 90.00
Positions (direct):
Sr 0.500 0.500 0.500
In 0.753 0.753 0.204
In 0.753 0.247 0.796
In 0.753 0.753 0.796
In 0.753 0.247 0.204
In 0.247 0.753 0.204
In 0.247 0.753 0.796
In 0.247 0.247 0.204
In 0.247 0.247 0.796
Au 0.500 0.000 0.000
Au 0.000 0.500 0.000

Energy of formation from the pure elements = -45 meV/atom
N(E_F) = 6.40 states/eV per cell

# 3
An optimized crystal structure of Na2Ca2Y, computed with GGA-PBE.

a b c (Å): 9.518 9.518 4.028
angles (deg): 90.00 90.00 90.00
Positions (direct):
Y 0.000 0.000 0.000
Y 0.500 0.500 0.000
Na 0.381 0.881 0.000
Na 0.881 0.619 0.000
Na 0.619 0.119 0.000
Na 0.119 0.381 0.000
Ca 0.185 0.685 0.500
Ca 0.685 0.815 0.500
Ca 0.815 0.315 0.500
Ca 0.315 0.185 0.500

Energy of formation from the pure elements = 234 meV/atom
N(E_F) = 11.66 states/eV per cell
Energy relative to the lowest polymorph listed for this composition = 0 meV per atom

# 4
An optimized crystal structure of ZrNbGa2, computed with GGA-PBE.

a b c (Å): 3.496 3.496 5.845
angles (deg): 90.00 90.00 90.00
Positions (direct):
Nb 0.500 0.500 0.000
Ga 0.000 0.000 0.770
Ga 0.000 0.000 0.230
Zr 0.500 0.500 0.500

Energy of formation from the pure elements = -304 meV/atom
N(E_F) = 3.85 states/eV per cell
Energy relative to the lowest polymorph listed for this composition = 76 meV per atom

# 5
An optimized crystal structure of CoCuSb2, computed with GGA-PBE.

a b c (Å): 7.622 7.622 7.622
angles (deg): 25.83 25.83 25.83
Positions (direct):
Co 0.250 0.250 0.250
Cu 0.750 0.750 0.750
Sb 0.992 0.992 0.992
Sb 0.508 0.508 0.508

Uncorrected energy = -4.71 eV per atom
N(E_F) = 2.89 states/eV per cell

# 6
An optimized crystal structure of Ac2Sn3Hg5, computed with GGA-PBE.

a b c (Å): 7.040 9.760 9.760
angles (deg): 73.07 68.86 68.86
Positions (direct):
Ac 0.127 0.614 0.131
Ac 0.627 0.131 0.614
Ac 0.873 0.386 0.869
Ac 0.373 0.869 0.386
Sn 0.369 0.506 0.755
Sn 0.869 0.755 0.506
Sn 0.631 0.494 0.245
Sn 0.131 0.245 0.494
Sn 0.250 0.000 0.000
Sn 0.750 0.000 0.000
Hg 0.379 0.261 0.981
Hg 0.879 0.981 0.261
Hg 0.621 0.739 0.019
Hg 0.121 0.019 0.739
Hg 0.489 0.761 0.761
Hg 0.511 0.239 0.239
Hg 0.750 0.500 0.500
Hg 0.250 0.500 0.500
Hg 0.011 0.239 0.239
Hg 0.989 0.761 0.761

Energy of formation from the pure elements = -298 meV/atom
N(E_F) = 6.41 states/eV per cell